# V2FeCu3O6 | Alexandria | GGA+U | relaxed
# E_tot in eV per atom: -6.570
data_V2FeCu3O6
_chemical_formula_sum 'V4 Fe2 Cu6 O12'
_space_group_name_H-M_alt 'C 1 2/m 1'
_space_group_IT_number 12
_space_group_name_Hall '-C 2y'
_cell_length_a 11.6639
_cell_length_b 3.0582
_cell_length_c 9.1883
_cell_angle_alpha 90.00
_cell_angle_beta 119.72
_cell_angle_gamma 90.00
loop_
_atom_site_label
_atom_site_fract_x
_atom_site_fract_y
_atom_site_fract_z
V1 0.1658 0.0000 0.3326
Fe1 0.0000 0.5000 0.0000
Cu1 0.0000 0.5000 0.5000
Cu2 0.1662 0.0000 0.8325
O1 0.0246 0.0000 0.8701
O2 0.1430 0.5000 0.4645
O3 0.1898 0.5000 0.2009